Entry from Alexandria via LeMat-Bulk: an optimized crystal structure of CsCaTe2Se (PBE).

Cell: 5.7556 5.7556 10.2403 Å, 90.00 90.00 90.00°
With the nearest neighbours (Å) after each atom.
Element x y z (fractional)
Cs (0.0000, 0.0000, 0.0000)  4 Se 4.07
Ca (0.0000, 0.0000, 0.5000)  4 Te 2.88
Te (0.0000, 0.5000, 0.5000)  2 Ca 2.88
Te (0.5000, 0.0000, 0.5000)  2 Ca 2.88
Se (0.5000, 0.5000, 0.0000)  4 Cs 4.07

Properties
Space-group type: P4/mmm
Energy relative to the elements, uncorrected (kJ/mol of formula units): -115